# 1
! PWSe3, optimized geometry, DFT PBE; values from VASP
&SYSTEM
  ibrav = 0, nat = 5, ntyp = 3
/
ATOMIC_SPECIES
P 30.97 P.upf
W 183.84 W.upf
Se 78.96 Se.upf
ATOMIC_POSITIONS angstrom
P 0.000 0.000 0.000
W 2.370 2.370 2.370
Se 0.000 0.000 2.370
Se 0.000 2.370 0.000
Se 2.370 0.000 0.000
CELL_PARAMETERS angstrom
4.740 0.000 0.000
0.000 4.740 0.000
0.000 0.000 4.740
! polymorph energy (0 for the lowest one) = 0.435 eV/atom
! symmetry = Pm-3m
! formation energy without anion corrections = 113.9 kJ/mol of atoms


# 2
! ScHgP, optimized geometry, DFT PBE; values from VASP
&SYSTEM
  ibrav = 0, nat = 3, ntyp = 3
/
ATOMIC_SPECIES
Sc 44.96 Sc.upf
Hg 200.59 Hg.upf
P 30.97 P.upf
ATOMIC_POSITIONS angstrom
Sc 0.000 0.000 0.000
Hg 0.000 0.000 2.877
P 0.000 0.000 5.693
CELL_PARAMETERS angstrom
-1.815 1.815 6.010
1.815 -1.815 6.010
1.815 1.815 -6.010
! polymorph energy (0 for the lowest one) = 0.000 eV/atom
! DFT formation energy = -0.628 eV per atom
! symmetry = I4mm


# 3
! RuRhF2, optimized geometry, DFT PBE; values from VASP
&SYSTEM
  ibrav = 0, nat = 4, ntyp = 3
/
ATOMIC_SPECIES
Ru 101.07 Ru.upf
Rh 102.91 Rh.upf
F 19.00 F.upf
ATOMIC_POSITIONS angstrom
Ru 0.000 0.000 0.000
Rh 0.000 0.000 11.845
F 0.000 0.000 9.818
F 0.000 0.000 13.872
CELL_PARAMETERS angstrom
1.346 0.777 7.897
-1.346 0.777 7.897
0.000 -1.554 7.897
! polymorph energy (0 for the lowest one) = 0.061 eV/atom
! symmetry = R-3m
! formation energy without anion corrections = -38.1 kJ/mol of atoms


# 4
! NiSbW2, optimized geometry, DFT PBE; values from VASP
&SYSTEM
  ibrav = 0, nat = 4, ntyp = 3
/
ATOMIC_SPECIES
Ni 58.69 Ni.upf
Sb 121.76 Sb.upf
W 183.84 W.upf
ATOMIC_POSITIONS angstrom
Ni 0.000 0.000 0.000
Sb 2.685 0.000 0.000
W 0.988 2.173 1.392
W 0.988 -2.173 1.392
CELL_PARAMETERS angstrom
2.685 -4.345 0.000
2.685 4.345 0.000
-0.708 0.000 2.784
! symmetry = C2/m
! formation energy without anion corrections = 55.3 kJ/mol of atoms